1.
DFT (GGA-PBEsol) results for crystalline Sc2CdAg2 at its relaxed geometry.

Cell lengths 8.220, 8.220, 8.220 Å; angles 153.99, 153.99, 37.11 degrees
Atoms (fractional coordinates):
Sc (0.104, 0.104, 0.000)
Sc (0.896, 0.896, 0.000)
Cd (0.500, 0.500, 0.000)
Ag (0.250, 0.750, 0.500)
Ag (0.750, 0.250, 0.500)

Energy (eV/atom): -4.182

2.
DFT (GGA-PBEsol) results for crystalline Fe5Ni at its relaxed geometry.

Cell lengths 6.056, 6.056, 3.943 Å; angles 90.00, 90.00, 152.85 degrees
Atoms (fractional coordinates):
Fe (0.000, 0.000, 0.000)
Fe (0.167, 0.833, 0.500)
Fe (0.334, 0.666, 0.000)
Fe (0.666, 0.334, 0.000)
Fe (0.833, 0.167, 0.500)
Ni (0.500, 0.500, 0.500)

Relative energy among the computed polymorphs (meV/atom): 0.0